# Ti2BeGaC PBE relaxed
data_Ti2BeGaC
_chemical_formula_sum 'Ti4 Be2 Ga2 C2'
_cell_length_a 6.0293
_cell_length_b 3.1031
_cell_length_c 7.5164
_cell_angle_alpha 90.00
_cell_angle_beta 113.58
_cell_angle_gamma 90.00
_space_group_name_H-M_alt 'P 1 21/m 1'
_space_group_IT_number 11
_space_group_name_Hall '-P 2yb'
loop_
_atom_site_label
_atom_site_type_symbol
_atom_site_fract_x
_atom_site_fract_y
_atom_site_fract_z
Ti1 Ti 0.0886 0.2500 0.3615
Ti2 Ti 0.2231 0.7500 0.0474
Be1 Be 0.2818 0.2500 0.7797
Ga1 Ga 0.4550 0.7500 0.6473
C1 C 0.0490 0.2500 0.8475
# Energy relative to the elements   -0.46 eV per atom
# Total moment   0.0 μB/f.u.